Here is Sr3Al2Ga4 after structural relaxation from Alexandria. Energies are from PBE.

The structure belongs to space group P-6m2 (No. 187); the cell edges are 4.3939, 4.3939 and 28.9818 Å and the angles 90.00°, 90.00° and 120.00°. Symmetry generates all atoms from Sr at (0.0000, 0.0000, 0.0828), Sr at (0.0000, 0.0000, 0.2499), Sr at (0.0000, 0.0000, 0.4156), Al at (0.3333, 0.6667, 0.5000), Al at (0.6667, 0.3333, 0.1664), Al at (0.6667, 0.3333, 0.5000), Ga at (0.3333, 0.6667, 0.0000), Ga at (0.3333, 0.6667, 0.1662), Ga at (0.3333, 0.6667, 0.3334), Ga at (0.6667, 0.3333, 0.0000) and Ga at (0.6667, 0.3333, 0.3321).

The calculation puts the offset from the most stable computed form at 0.000 eV per atom. As for the crystal system: hexagonal.

Here is Sr3Al2Ga4 after structural relaxation from Alexandria. Energies are from PBE.

The structure belongs to space group C2/m (No. 12); the cell edges are 11.521, 4.577 and 9.000 Å and the angles 90.00°, 105.95° and 90.00°. Symmetry generates all atoms from Sr at (0.000, 0.000, 0.000), Sr at (0.127, 0.500, 0.688), Al at (0.172, 0.500, 0.329), Ga at (0.102, 0.000, 0.429) and Ga at (0.226, 0.500, 0.061).

The calculation puts the offset from the most stable computed form at 0.011 eV per atom. As for the crystal system: monoclinic.

Here is Sr3Al3Ga after structural relaxation from Alexandria. Energies are from PBE.

The structure belongs to space group C2/m (No. 12); the cell edges are 12.358, 4.403 and 16.008 Å and the angles 90.00°, 108.68° and 90.00°. Symmetry generates all atoms from Sr at (0.011, 0.000, 0.387), Sr at (0.117, 0.000, 0.923), Sr at (0.242, 0.000, 0.232), Al at (0.033, 0.500, 0.230), Al at (0.092, 0.500, 0.076), Al at (0.185, 0.500, 0.537) and Ga at (0.215, 0.500, 0.379).

As for the crystal system: monoclinic.

Here is SrAlGa3 after structural relaxation from Alexandria. Energies are from PBE.

The structure belongs to space group Pm-3m (No. 221); the cell edges are 5.846, 5.846 and 5.846 Å and the angles 90.00°, 90.00° and 90.00°. Symmetry generates all atoms from Sr at (0.000, 0.000, 0.000), Al at (0.500, 0.500, 0.500) and Ga at (0.000, 0.000, 0.500).

The calculation puts the offset from the most stable computed form at 1.403 eV per atom. As for the crystal system: cubic.

| no. | formation enthalpy at 0 K (eV per atom) |
| --- | --- |
| 1 | -0.41 |
| 2 | -0.40 |
| 3 | -0.26 |
| 4 | 1.03 |